Compound: Dy4MgZn2Cd
Source: Alexandria
Functional: PBE
Structure: optimized geometry

The structure in CIF format:
```
data_Dy4MgZn2Cd
_chemical_formula_sum 'Dy12 Mg3 Zn6 Cd3'
_cell_length_a 5.1830
_cell_length_b 5.1830
_cell_length_c 25.4296
_cell_angle_alpha 90.00
_cell_angle_beta 90.00
_cell_angle_gamma 120.00
_space_group_name_H-M_alt 'R -3 m'
_space_group_IT_number 166
_space_group_name_Hall '-R 3 2"'
loop_
_atom_site_label
_atom_site_fract_x
_atom_site_fract_y
_atom_site_fract_z
_atom_site_occupancy
Dy1 0.0000 0.0000 0.1241 1
Dy2 0.0000 0.0000 0.3746 1
Mg1 0.0000 0.0000 0.5000 1
Zn1 0.0000 0.0000 0.2449 1
Cd1 0.0000 0.0000 0.0000 1
```

Results
Calculated formation energy = -249 meV/atom
Calculated density = 7.73 g/cm³
Magnetization = 0.00 μB per atom